Crystalline Ba2Zn6NiAg at its relaxed geometry. Source: Alexandria, functional PBE-GGA.

Cell lengths 6.951, 6.951, 6.947 Å; angles 119.84, 119.84, 90.17 degrees
Positions (direct):
Ba 0.250 0.750 0.000
Ba 0.750 0.250 0.000
Zn 0.238 0.238 0.500
Zn 0.238 0.238 0.976
Zn 0.238 0.762 0.500
Zn 0.762 0.238 0.500
Zn 0.762 0.762 0.024
Zn 0.762 0.762 0.500
Ni 0.000 0.000 0.500
Ag 0.500 0.500 0.500

Calculated values
E_form = -138 meV/atom
total magnetization = 0.0 μB per formula unit
calculated total energy = -21.498 eV/f.u.
crystal system = monoclinic